A relaxed AcDySnGe crystal, computed with PBE.

Computed properties:
energy	-77.18	eV for the cell shown
ρ	8.4	Mg/m³
formation energy	-0.49	eV/atom
SG	F-43m (216)

Cell and atoms, written as CIF:
```
data_AcDySnGe
_chemical_formula_sum 'Ac4 Dy4 Sn4 Ge4'
_cell_length_a 7.725
_cell_length_b 7.725
_cell_length_c 7.725
_cell_angle_alpha 90.00
_cell_angle_beta 90.00
_cell_angle_gamma 90.00
_space_group_name_H-M_alt 'P 1'
_space_group_IT_number 1
loop_
_space_group_symop_operation_xyz
'x,y,z'
loop_
_atom_site_label
_atom_site_fract_x
_atom_site_fract_y
_atom_site_fract_z
Ac1 0.000 0.000 0.000
Ac2 0.000 0.500 0.500
Ac3 0.500 0.000 0.500
Ac4 0.500 0.500 0.000
Dy1 0.000 0.000 0.500
Dy2 0.000 0.500 0.000
Dy3 0.500 0.000 0.000
Dy4 0.500 0.500 0.500
Sn1 0.250 0.250 0.250
Sn2 0.250 0.750 0.750
Sn3 0.750 0.250 0.750
Sn4 0.750 0.750 0.250
Ge1 0.250 0.250 0.750
Ge2 0.250 0.750 0.250
Ge3 0.750 0.250 0.250
Ge4 0.750 0.750 0.750
```

A relaxed AcDyZnGe crystal, computed with PBE.

Computed properties:
energy	-65.21	eV for the cell shown
ρ	8.4	Mg/m³
formation energy	-0.43	eV/atom
SG	F-43m (216)

Cell and atoms, written as CIF:
```
data_AcDyZnGe
_chemical_formula_sum 'Ac4 Dy4 Zn4 Ge4'
_cell_length_a 7.471
_cell_length_b 7.471
_cell_length_c 7.471
_cell_angle_alpha 90.00
_cell_angle_beta 90.00
_cell_angle_gamma 90.00
_space_group_name_H-M_alt 'P 1'
_space_group_IT_number 1
loop_
_space_group_symop_operation_xyz
'x,y,z'
loop_
_atom_site_label
_atom_site_fract_x
_atom_site_fract_y
_atom_site_fract_z
Ac1 0.000 0.000 0.000
Ac2 0.000 0.500 0.500
Ac3 0.500 0.000 0.500
Ac4 0.500 0.500 0.000
Dy1 0.000 0.000 0.500
Dy2 0.000 0.500 0.000
Dy3 0.500 0.000 0.000
Dy4 0.500 0.500 0.500
Zn1 0.250 0.250 0.750
Zn2 0.250 0.750 0.250
Zn3 0.750 0.250 0.250
Zn4 0.750 0.750 0.750
Ge1 0.250 0.250 0.250
Ge2 0.250 0.750 0.750
Ge3 0.750 0.250 0.750
Ge4 0.750 0.750 0.250
```

A relaxed AcDy2Zn2Ge2 crystal, computed with PBE.

Computed properties:
energy	-28.11	eV for the cell shown
ρ	7.7	Mg/m³
formation energy	-0.43	eV/atom
SG	R-3m (166)

Cell and atoms, written as CIF:
```
data_AcDy2Zn2Ge2
_chemical_formula_sum 'Ac1 Dy2 Zn2 Ge2'
_cell_length_a 11.866
_cell_length_b 11.866
_cell_length_c 11.866
_cell_angle_alpha 20.41
_cell_angle_beta 20.41
_cell_angle_gamma 20.41
_space_group_name_H-M_alt 'P 1'
_space_group_IT_number 1
loop_
_space_group_symop_operation_xyz
'x,y,z'
loop_
_atom_site_label
_atom_site_fract_x
_atom_site_fract_y
_atom_site_fract_z
Ac1 0.000 0.000 0.000
Dy1 0.126 0.126 0.126
Dy2 0.874 0.874 0.874
Zn1 0.398 0.398 0.398
Zn2 0.602 0.602 0.602
Ge1 0.260 0.260 0.260
Ge2 0.740 0.740 0.740
```

Copy entry 3 word for word.
A relaxed AcDy2Zn2Ge2 crystal, computed with PBE.

Computed properties:
energy	-28.11	eV for the cell shown
ρ	7.7	Mg/m³
formation energy	-0.43	eV/atom
SG	R-3m (166)

Cell and atoms, written as CIF:
```
data_AcDy2Zn2Ge2
_chemical_formula_sum 'Ac1 Dy2 Zn2 Ge2'
_cell_length_a 11.866
_cell_length_b 11.866
_cell_length_c 11.866
_cell_angle_alpha 20.41
_cell_angle_beta 20.41
_cell_angle_gamma 20.41
_space_group_name_H-M_alt 'P 1'
_space_group_IT_number 1
loop_
_space_group_symop_operation_xyz
'x,y,z'
loop_
_atom_site_label
_atom_site_fract_x
_atom_site_fract_y
_atom_site_fract_z
Ac1 0.000 0.000 0.000
Dy1 0.126 0.126 0.126
Dy2 0.874 0.874 0.874
Zn1 0.398 0.398 0.398
Zn2 0.602 0.602 0.602
Ge1 0.260 0.260 0.260
Ge2 0.740 0.740 0.740
```